The following is a PBE-GGA calculation of a geometry-optimized Pr4FeI5 structure, from OQMD.

E_tot = -45.12 eV per formula unit
total magnetization = 0.5 μB per formula unit

Cell lengths 4.273, 18.948, 9.442 Å; angles 90.00, 90.00, 90.00 degrees
Atoms (fractional coordinates):
I1 0.000 0.329 0.125
Pr1 0.000 0.500 0.656
I2 0.500 0.829 0.875
I3 0.000 0.669 0.622
Fe1 0.500 0.500 0.874
Pr2 0.500 0.000 0.344
I4 0.500 0.171 0.875
I5 0.500 0.500 0.371
Pr3 0.500 0.633 0.871
I6 0.500 0.169 0.378
I7 0.000 0.671 0.125
Pr4 0.000 0.500 0.088
Pr5 0.500 0.000 0.912
I8 0.000 0.000 0.629
Fe2 0.000 0.000 0.126
Pr6 0.000 0.867 0.129
Pr7 0.500 0.367 0.871
Pr8 0.000 0.133 0.129
I9 0.500 0.831 0.378
I10 0.000 0.331 0.622